MnRe2Pd after structural relaxation, computed with PBE.

Cell lengths 6.0975, 6.0975, 6.0975 Å; angles 90.00, 90.00, 90.00 degrees
Closest atoms and distances in Å follow each position.
Space group Fm-3m (No. 225)
Unique sites:
1 Mn 0.0000 0.0000 0.0000 x4  8 Re 2.64
2 Re 0.2500 0.2500 0.2500 x8  4 Mn 2.64, 4 Pd 2.64
3 Pd 0.0000 0.0000 0.5000 x4  8 Re 2.64

Crystal system: cubic
Excess energy over the best structure of this formula in the dataset (meV per atom): 0


KTcHg2 after structural relaxation, computed with PBE.

Cell lengths 4.1452, 4.1689, 10.5367 Å; angles 90.00, 90.00, 90.00 degrees
Closest atoms and distances in Å follow each position.
Space group Cmm2 (No. 35)
Unique sites:
1 K 0.0000 0.0000 0.0000 x2  4 K 2.94
2 Tc 0.0000 0.5000 0.2655 x2  4 Tc 2.94, 4 Hg 2.95-2.96
3 Hg 0.0000 0.0000 0.4648 x2  4 Hg 2.94, 4 Tc 2.95-2.96
4 Hg 0.0000 0.5000 0.7269 x2  4 Hg 2.94

Crystal system: orthorhombic
Excess energy over the best structure of this formula in the dataset (meV per atom): 194


LiTi3Rh4 after structural relaxation, computed with PBE.

Cell lengths 4.3380, 4.3380, 21.2070 Å; angles 90.00, 90.00, 120.00 degrees
Closest atoms and distances in Å follow each position.
Space group R-3m (No. 166, hexagonal axes)
Unique sites:
1 Li 0.0000 0.0000 0.0000 x3  8 Rh 2.67-2.70
2 Ti 0.0000 0.0000 0.2551 x6  8 Rh 2.58-2.71
3 Ti 0.0000 0.0000 0.5000 x3  8 Rh 2.61-2.64
4 Rh 0.0000 0.0000 0.1273 x6  7 Ti 2.64-2.71, 1 Li 2.70
5 Rh 0.0000 0.0000 0.3769 x6  5 Ti 2.58-2.61, 3 Li 2.67

Crystal system: trigonal


| no. | total moment (μB per formula unit) | DFT total energy (eV/atom) | calculated formation energy (eV per formula unit) |
| --- | --- | --- | --- |
| 1 | 0.00 | -9.29 | 2.11 |
| 2 | 0.01 | -2.32 | 2.80 |
| 3 | 0.00 | -7.61 | -5.88 |